(1)
An optimized crystal structure of LaCdHgSe2, computed with PBEsol.

```
LaCdHgSe2
1.0
5.6273 0.0000 0.0000
0.0000 5.6273 0.0000
0.0000 0.0000 6.2871
La Cd Hg Se
1 1 1 2
Cartesian
0.0000 0.0000 0.0000
2.8137 2.8137 3.1436
0.0000 0.0000 3.1436
0.0000 2.8137 0.0000
2.8137 0.0000 0.0000
```

* uncorrected formation energy: -216 meV per atom

(2)
An optimized crystal structure of CaTaIn2, computed with PBEsol.

```
CaTaIn2
1.0
7.1364 0.0000 0.0000
0.0000 7.1364 0.0000
0.0000 0.0000 7.1364
Ca Ta In
4 4 8
Cartesian
0.0000 0.0000 0.0000
0.0000 3.5682 3.5682
3.5682 0.0000 3.5682
3.5682 3.5682 0.0000
1.7841 1.7841 5.3523
1.7841 5.3523 1.7841
5.3523 1.7841 1.7841
5.3523 5.3523 5.3523
0.0000 0.0000 3.5682
0.0000 3.5682 0.0000
1.7841 1.7841 1.7841
1.7841 5.3523 5.3523
3.5682 0.0000 0.0000
3.5682 3.5682 3.5682
5.3523 1.7841 5.3523
5.3523 5.3523 1.7841
```

* formation energy from the elements: 0.58 eV/atom

(3)
An optimized crystal structure of LiAgTe2, computed with PBEsol.

```
LiAgTe2
1.0
4.9048 0.0000 0.0000
0.0000 5.7761 0.0000
0.0000 0.0000 3.2052
Li Ag Te
1 1 2
Cartesian
0.0000 0.0000 0.0000
2.4524 2.8880 1.6111
0.0000 2.8880 0.0067
2.4524 0.0000 1.6080
```

* uncorrected formation energy: -341 meV per atom

(4)
An optimized crystal structure of ReAsAu2, computed with PBEsol.

```
ReAsAu2
1.0
2.6837 0.0000 0.0000
0.0000 4.5748 0.0000
0.0000 0.0000 12.0761
Re As Au
2 2 4
Cartesian
0.0000 0.0000 0.0000
1.3419 2.2874 6.0381
0.0000 2.2874 8.1870
1.3419 0.0000 2.1489
0.0000 0.0000 5.5196
0.0000 2.2874 3.5591
1.3419 0.0000 9.5971
1.3419 2.2874 11.5577
```

* formation energy from the elements: 0.43 eV/atom

(5)
An optimized crystal structure of LaMg2Rh2, computed with PBEsol.

```
LaMg2Rh2
1.0
7.6355 0.0000 0.0000
0.0000 7.6355 0.0000
0.0000 0.0000 3.1457
La Mg Rh
2 4 4
Cartesian
0.0000 0.0000 0.0000
3.8178 3.8178 0.0000
0.9966 2.8212 1.5729
2.8212 6.6390 1.5729
4.8143 0.9966 1.5729
6.6390 4.8143 1.5729
1.2584 5.0762 0.0000
2.5593 1.2584 0.0000
5.0762 6.3771 0.0000
6.3771 2.5593 0.0000
```

* formation energy from the elements: -0.47 eV/atom
* energy above the most stable polymorph in this dataset: 0.000 eV/f.u.

(6)
An optimized crystal structure of ErMg16Al12, computed with PBEsol.

```
ErMg16Al12
1.0
7.4779 4.3174 2.9664
-7.4779 4.3174 2.9664
0.0000 -8.6347 2.9664
Er Mg Al
1 16 12
Cartesian
0.0000 0.0000 0.0000
-2.1981 -3.9670 2.8626
-4.5346 0.0799 2.8626
0.0000 -5.7858 4.0791
-5.0106 2.8929 4.0791
-2.5622 -1.4793 4.5489
2.1981 -3.9670 2.8626
-2.3365 3.8871 2.8626
-4.4729 -2.5824 6.6194
2.5623 -1.4793 4.5489
0.0000 2.9586 4.5489
0.0000 0.0000 5.5833
4.5346 0.0799 2.8626
2.3365 3.8871 2.8626
5.0106 2.8929 4.0791
4.4729 -2.5824 6.6194
0.0000 5.1649 6.6194
0.0000 -1.5872 2.7994
-1.3746 0.7936 2.7994
1.3746 0.7936 2.7994
0.0000 -3.1270 4.9806
-2.7081 1.5635 4.9806
-1.3754 -2.3431 7.2377
-2.7169 -0.0196 7.2377
2.7081 1.5635 4.9806
1.3754 -2.3431 7.2377
-1.3415 2.3627 7.2377
2.7169 -0.0196 7.2377
1.3415 2.3627 7.2377
```

* formation energy from the elements: -0.06 eV/atom
* energy above the most stable polymorph in this dataset: 0.230 eV/f.u.

(7)
An optimized crystal structure of Sc3Ag, computed with PBEsol.

```
Sc3Ag
1.0
6.2185 0.0000 0.0000
0.0000 8.6772 0.0000
0.0000 0.0000 6.3093
Sc Ag
12 4
Cartesian
6.2178 2.1693 0.5272
0.0006 6.5079 5.7821
1.5467 0.3936 4.7237
1.5467 3.9450 4.7237
1.5626 4.7322 1.5690
1.5626 8.2835 1.5690
3.1086 2.1693 2.6275
3.1099 6.5079 3.6819
4.6559 0.3936 4.7403
4.6559 3.9450 4.7403
4.6718 4.7322 1.5857
4.6718 8.2835 1.5857
0.0096 6.5079 3.1434
3.0996 2.1693 6.2981
3.1188 6.5079 0.0112
6.2089 2.1693 3.1659
```

* formation energy from the elements: -0.15 eV/atom
* energy above the most stable polymorph in this dataset: 0.000 eV/f.u.

(8)
An optimized crystal structure of ZrZn2Se, computed with PBEsol.

```
ZrZn2Se
1.0
3.7427 0.0000 0.0000
0.0000 3.7427 0.0000
0.0000 0.0000 9.8408
Zr Zn Se
2 4 2
Cartesian
0.0000 0.0000 0.0000
1.8713 1.8713 4.9204
0.0000 1.8713 2.4602
0.0000 1.8713 7.3806
1.8713 0.0000 2.4602
1.8713 0.0000 7.3806
0.0000 0.0000 4.9204
1.8713 1.8713 0.0000
```

* uncorrected formation energy: -420 meV per atom

Table of DOS(E_F) (states/eV/cell), in record order: 5.909, 18.896, 1.172, 5.042, 3.184, 9.871, 9.346, 3.677